This record from the Alexandria database describes crystalline Nb4Re2Tc at its relaxed geometry. The functional is PBE.

Unit cell a=5.484 b=5.484 c=5.484 alpha=109.55 beta=109.43 gamma=109.43
Fractional coordinates of all 7 atoms:
Nb  0.500  0.000  0.000
Nb  0.500  0.500  0.500
Nb  0.000  0.000  0.500
Nb  0.000  0.500  0.000
Re  0.500  0.500  0.000
Re  0.500  0.000  0.500
Tc  0.000  0.000  0.000

ΔH_f (0 K): 0.3 kcal/mol of atoms
V: 18.136 A^3/atom
magnetization: 0.00 Bohr magnetons per cell
crystal system: tetragonal
space group: I4/mmm, No. 139
N(E_F): 3.1 states/eV/cell